Entry 1:
Entry from Alexandria via LeMat-Bulk: a relaxed HfInGa3 crystal (GGA-PBEsol).

As for the density of states at the Fermi level: 3.132 states/eV/f.u. Its formation energy is 4.672 eV/f.u.

POSCAR file:
```
HfInGa3
1.0
4.9705 0.0000 0.0000
0.0000 4.9705 0.0000
0.0000 0.0000 4.9705
Hf In Ga
1 1 3
Direct
0.0000 0.0000 0.0000
0.5000 0.5000 0.5000
0.0000 0.5000 0.5000
0.5000 0.0000 0.5000
0.5000 0.5000 0.0000
```

Entry 2:
Entry from Alexandria via LeMat-Bulk: a relaxed Cs2AsIr crystal (GGA-PBEsol).

As for the density of states at the Fermi level: 0.823 states/eV/f.u. Its formation energy is 0.089 eV/f.u.

POSCAR file:
```
Cs2AsIr
1.0
-6.2426 6.2426 2.2901
6.2426 -6.2426 2.2901
6.2426 6.2426 -2.2901
Cs As Ir
4 2 2
Direct
0.3750 0.0346 0.1596
0.7846 0.6250 0.6596
0.8750 0.2154 0.8404
0.9654 0.1250 0.3404
0.2500 0.7500 0.5000
0.5000 0.5000 0.0000
0.0000 0.0000 0.0000
0.7500 0.2500 0.5000
```